An optimized crystal structure of Li2Ti2Ge. Source: Alexandria, functional PBEsol.

Lattice parameters (Å, degrees): 5.9082 5.9082 5.9082 142.65 142.65 53.85
Atoms (fractional coordinates):
Li 0.0835 0.0835 0.0000
Li 0.9165 0.9165 0.0000
Ti 0.2500 0.7500 0.5000
Ti 0.7500 0.2500 0.5000
Ge 0.5000 0.5000 0.0000

Output
As for the calculated formation energy: 0.390 eV per atom. The calculation puts the density of states at the Fermi level at 3.500 states/eV per cell.